V4NiRu PBE-GGA optimized geometry; DOS at the Fermi energy = 14.36 states/eV/cell; E_tot = -8.348 eV/atom; space-group type = C2/m, No. 12; total magnetic moment = 0.000 μB per atom
1.0
4.304 0.002 0.002
-2.150 5.371 0.022
0.003 -1.840 7.214
V Ru Ni
8 2 2
Direct
0.206 0.911 0.567
0.452 0.405 0.651
0.048 0.595 0.849
0.706 0.911 0.067
0.294 0.089 0.933
0.548 0.595 0.349
0.794 0.089 0.433
0.952 0.405 0.151
0.250 0.000 0.250
0.750 0.000 0.750
0.000 0.500 0.500
0.500 0.500 0.000